one) Material: Ca2TiCl
Method: DFT, PBE
State: optimized geometry

abc: 8.344 8.344 7.154
angles: 90.00 90.00 90.00
Space group I-42d (No. 122)
Unique sites:
Ca: 0.192 0.250 0.125 [8 per cell]
Ti: 0.000 0.000 0.500 [4 per cell]
Cl: 0.000 0.000 0.000 [4 per cell]

---

two) Material: Ca2TiCl
Method: DFT, PBE
State: optimized geometry

abc: 7.832 7.832 7.832
angles: 90.00 90.00 90.00
Space group Fm-3m (No. 225)
Unique sites:
Ca: 0.250 0.250 0.250 [8 per cell]
Ti: 0.000 0.000 0.000 [4 per cell]
Cl: 0.000 0.000 0.500 [4 per cell]

---

Energies relative to the most stable structure are one) 0; two) 224, reported in meV/atom.

---

one) Material: Ca3TiCl
Method: DFT, PBE
State: optimized geometry

abc: 5.434 5.434 5.434
angles: 90.00 90.00 90.00
Space group Pm-3m (No. 221)
Unique sites:
Ca: 0.000 0.000 0.500 [3 per cell]
Ti: 0.500 0.500 0.500 [1 per cell]
Cl: 0.000 0.000 0.000 [1 per cell]

---

two) Material: Ca3TiCl
Method: DFT, PBE
State: optimized geometry

abc: 5.961 5.961 5.961
angles: 90.00 90.00 90.00
Space group Pm-3m (No. 221)
Unique sites:
Ca: 0.000 0.000 0.500 [3 per cell]
Ti: 0.000 0.000 0.000 [1 per cell]
Cl: 0.500 0.500 0.500 [1 per cell]

---

Energies relative to the most stable structure are one) 0; two) 544, reported in meV/atom.

---

one) Material: CaTlCl
Method: DFT, PBE
State: optimized geometry

abc: 3.554 3.554 15.784
angles: 90.00 90.00 90.00
Space group I4mm (No. 107)
Unique sites:
Ca: 0.000 0.000 0.000 [2 per cell]
Tl: 0.000 0.000 0.659 [2 per cell]
Cl: 0.000 0.000 0.414 [2 per cell]

---

two) Material: CaTlCl
Method: DFT, PBE
State: optimized geometry

abc: 7.246 7.246 7.246
angles: 90.00 90.00 90.00
Space group F-43m (No. 216)
Unique sites:
Ca: 0.000 0.000 0.000 [4 per cell]
Tl: 0.000 0.000 0.500 [4 per cell]
Cl: 0.250 0.250 0.250 [4 per cell]

---

three) Material: CaTlCl
Method: DFT, PBE
State: optimized geometry

abc: 16.211 3.838 6.639
angles: 90.00 90.00 90.00
Space group Amm2 (No. 38)
Unique sites:
Ca: 0.000 0.000 0.000 [2 per cell]
Ca: 0.500 0.000 0.219 [2 per cell]
Tl: 0.340 0.000 0.886 [4 per cell]
Cl: 0.101 0.000 0.334 [4 per cell]

---

Energies relative to the most stable structure are one) 55; two) 410; three) 0, reported in meV/atom.

---

one) Material: CaTl2Cl8
Method: DFT, PBE
State: optimized geometry

abc: 13.261 9.235 6.648
angles: 90.00 101.06 90.00
Space group C2/m (No. 12)
Unique sites:
Ca: 0.000 0.000 0.000 [2 per cell]
Tl: 0.208 0.000 0.678 [4 per cell]
Cl: 0.100 0.197 0.787 [8 per cell]
Cl: 0.109 0.500 0.210 [4 per cell]
Cl: 0.180 0.000 0.292 [4 per cell]

---

two) Material: CaTl2Cl8
Method: DFT, PBE
State: optimized geometry

abc: 17.369 9.400 13.007
angles: 90.00 131.35 90.00
Space group C2/c (No. 15)
Unique sites:
Ca: 0.000 0.002 0.250 [4 per cell]
Tl: 0.085 0.263 0.033 [8 per cell]
Cl: 0.087 0.197 0.693 [8 per cell]
Cl: 0.095 0.226 0.233 [8 per cell]
Cl: 0.139 0.499 0.540 [8 per cell]
Cl: 0.169 0.052 0.024 [8 per cell]

---

Energies relative to the most stable structure are one) 6; two) 0, reported in meV/atom.